Ba2NiAg2O6 | PBE+U | optimized geometry

extended XYZ file:
```
11
Lattice="3.0447 1.7579 5.6025 -3.0447 1.7579 5.6025 0.0000 -3.5158 5.6025" Properties=species:S:1:pos:R:3 pbc="T T T"
Ba 0.0000 0.0000 3.6492
Ba 0.0000 0.0000 13.1584
Ni 0.0000 0.0000 0.0000
Ag 0.0000 0.0000 6.9354
Ag 0.0000 0.0000 9.8723
O -1.7577 -1.0148 9.8199
O 0.0000 -2.0296 6.9877
O -1.7577 1.0148 6.9877
O 1.7577 -1.0148 9.8199
O 0.0000 2.0296 9.8199
O 1.7577 1.0148 6.9877
```

- DFT total energy (eV/atom) = -4.767
- SG = R-3m
- size of the total moment (Bohr magnetons per cell) = 1.49